{
  "formula": "MoIrO2F",
  "functional": "PBE with a Hubbard U",
  "state": "relaxed",
  "lattice_angstrom": [[-2.135, -0.736, -3.221], [3.026, -1.976, -1.554], [-1.429, -3.575, 1.764]],
  "species": ["Ir", "O", "O", "F", "Mo"],
  "fractional_positions": [[0.500, 0.500, 0.500], [0.000, 0.500, 0.000], [0.500, 0.000, 0.000], [0.000, 0.000, 0.500], [0.000, 0.000, 0.000]],
  "space_group": "No. 123",
  "e_tot_ev_per_fu": -28.0
}